First-principles (PBE) data for a relaxed structure of BeInPt, as listed in the Alexandria database.

energy above the lowest structure with this stoichiometry = 70 meV/atom
uncorrected energy = -13.2 eV per cell
space group = F-43m (216)

abc: 4.1003 4.1003 4.1003
angles: 60.00 60.00 60.00
Positions (direct):
Be 0.7500 0.7500 0.7500
Pt 0.5000 0.5000 0.5000
In 0.0000 0.0000 0.0000

First-principles (PBE) data for a relaxed structure of BeIn2Pt, as listed in the Alexandria database.

uncorrected energy = -14.3 eV per cell
space group = F-43m (216)

abc: 4.6708 4.6708 4.6708
angles: 60.00 60.00 60.00
Positions (direct):
Be 0.5000 0.5000 0.5000
Pt 0.7500 0.7500 0.7500
In 0.0000 0.0000 0.0000
In 0.2500 0.2500 0.2500

Spin magnetization: 0.00 0.00 (μB/f.u.)
Formation enthalpy at 0 K: -235 235 (meV/atom)